VASP calculation (GGA-PBE) on an optimized crystal structure of KCdPtF6.

Properties
ΔE_f (raw)	-1898	meV/atom

extended XYZ file:
```
9
Lattice="5.465 0.000 0.000 -0.062 5.818 0.000 -0.058 -2.641 5.192" Properties=species:S:1:pos:R:3 pbc="T T T"
K 0.000 0.000 0.000
Cd 2.674 0.119 3.499
Pt 2.675 3.013 1.720
F 1.375 4.143 3.250
F 1.641 3.728 0.147
F 1.648 1.284 1.770
F 3.705 2.183 3.237
F 3.706 4.741 1.799
F 3.978 2.176 0.015
```